[1]
La2MgNi3Pt12 after structural relaxation. Source: the Alexandria database, functional PBE.

Geometry as POSCAR:
```
La2MgNi3Pt12
1.0
-7.363 -2.491 0.168
-3.058 -2.147 -6.819
-1.070 -7.631 -1.035
Pt Ni Mg La
12 3 1 2
direct
0.382 0.863 0.863
0.863 0.863 0.382
0.137 0.137 0.618
0.366 0.366 0.889
0.618 0.137 0.137
0.366 0.889 0.366
0.889 0.366 0.366
0.634 0.634 0.111
0.863 0.382 0.863
0.137 0.618 0.137
0.111 0.634 0.634
0.634 0.111 0.634
0.000 0.000 0.500
0.500 0.000 0.000
0.000 0.500 0.000
0.000 0.000 0.000
0.613 0.613 0.613
0.387 0.387 0.387
```

calculated volume	20.00	Å³/atom
symmetry	R-3m, No. 166
ΔE_f	-0.1082	eV per atom

---

[2]
LaMgNiRh after structural relaxation. Source: the Alexandria database, functional PBE.

Geometry as POSCAR:
```
LaMgNiRh
1.0
4.778 0.000 0.000
2.389 4.138 0.000
2.389 1.379 3.901
La Rh Ni Mg
1 1 1 1
direct
0.750 0.750 0.750
0.500 0.500 0.500
0.000 0.000 0.000
0.250 0.250 0.250
```

calculated volume	19.29	Å³/atom
symmetry	F-43m, No. 216
ΔE_f	-0.3338	eV per atom

---

[3]
LaMgNi2S after structural relaxation. Source: the Alexandria database, functional PBE.

Geometry as POSCAR:
```
LaMgNi2S
1.0
-1.936 -3.085 -2.485
3.133 0.968 -3.643
2.784 -3.027 1.589
Ni S Mg La
2 1 1 1
direct
0.500 0.000 0.000
0.000 0.000 0.500
0.000 0.000 0.000
0.000 0.500 0.000
0.500 0.500 0.500
```

calculated volume	19.06	Å³/atom
symmetry	P4/mmm, No. 123
VASP energy	-22.6	eV/f.u.

---

[4]
La2MgNiS after structural relaxation. Source: the Alexandria database, functional PBE.

Geometry as POSCAR:
```
La2MgNiS
1.0
-4.812 3.140 0.235
-2.351 -3.585 -0.237
0.023 -0.394 5.737
S La Mg Ni
1 2 1 1
direct
0.500 0.500 0.500
0.500 0.000 0.000
0.000 0.000 0.500
0.000 0.000 0.000
0.000 0.500 0.000
```

calculated volume	28.39	Å³/atom
symmetry	P4/mmm, No. 123
VASP energy	-20.5	eV/f.u.

---

[5]
La2MgNiSb after structural relaxation. Source: the Alexandria database, functional PBE.

Geometry as POSCAR:
```
La2MgNiSb
1.0
-1.409 -2.966 -4.191
0.071 -4.356 3.060
-4.729 0.695 1.098
Ni La Mg Sb
1 2 1 1
direct
0.000 0.000 0.000
0.000 0.500 0.000
0.500 0.000 0.000
0.000 0.000 0.500
0.500 0.500 0.500
```

calculated volume	27.80	Å³/atom
symmetry	P4/mmm, No. 123
VASP energy	-24.2	eV/f.u.

---

[6]
La2MgNi3Sb4 after structural relaxation. Source: the Alexandria database, functional PBE.

Geometry as POSCAR:
```
La2MgNi3Sb4
1.0
-3.539 -0.517 2.786
-2.517 -1.473 -3.471
3.059 -10.006 2.028
Sb Ni Mg La
4 3 1 2
direct
0.000 0.500 0.353
0.500 0.000 0.647
0.000 0.000 0.000
0.500 0.500 0.000
0.500 0.000 0.885
0.000 0.500 0.115
0.000 0.000 0.500
0.500 0.500 0.500
0.500 0.000 0.241
0.000 0.500 0.759
```

calculated volume	21.90	Å³/atom
symmetry	P-4m2, No. 115
VASP energy	-51.9	eV/f.u.

---

[7]
La2MgNi4Sb3 after structural relaxation. Source: the Alexandria database, functional PBE.

Geometry as POSCAR:
```
La2MgNi4Sb3
1.0
-3.287 -2.194 -1.978
-0.629 -2.372 3.675
-6.724 7.024 3.383
Sb La Mg Ni
3 2 1 4
direct
0.000 0.500 0.128
0.500 0.000 0.872
0.000 0.000 0.500
0.000 0.500 0.764
0.500 0.000 0.236
0.500 0.500 0.500
0.000 0.000 0.000
0.500 0.500 0.000
0.000 0.500 0.371
0.500 0.000 0.629
```

calculated volume	20.10	Å³/atom
symmetry	P-4m2, No. 115
VASP energy	-53.6	eV/f.u.

---

[8]
LaMg2ScNi after structural relaxation. Source: the Alexandria database, functional PBE.

Geometry as POSCAR:
```
LaMg2ScNi
1.0
-4.217 2.687 0.158
-0.633 -1.275 4.796
2.515 3.866 1.360
Mg Ni La Sc
2 1 1 1
direct
0.000 0.500 0.000
0.500 0.000 0.000
0.000 0.000 0.000
0.500 0.500 0.500
0.000 0.000 0.500
```

calculated volume	24.07	Å³/atom
symmetry	P4/mmm, No. 123
ΔE_f	-0.1124	eV per atom

---

[9]
LaMgSc2Ni after structural relaxation. Source: the Alexandria database, functional PBE.

Geometry as POSCAR:
```
LaMgSc2Ni
1.0
4.972 0.000 0.000
0.000 4.972 0.000
0.000 0.000 5.016
Sc Ni Mg La
2 1 1 1
direct
0.000 0.500 0.000
0.500 0.000 0.000
0.000 0.000 0.000
0.000 0.000 0.500
0.500 0.500 0.500
```

calculated volume	24.80	Å³/atom
symmetry	P4/mmm, No. 123
ΔE_f	-0.0835	eV per atom

---

[10]
La2MgScNi after structural relaxation. Source: the Alexandria database, functional PBE.

Geometry as POSCAR:
```
La2MgScNi
1.0
-0.885 2.772 -4.569
-2.285 -4.383 -2.216
-4.563 1.479 1.781
La Mg Ni Sc
2 1 1 1
direct
0.000 0.500 0.000
0.500 0.000 0.000
0.500 0.500 0.500
0.000 0.000 0.000
0.000 0.000 0.500
```

calculated volume	30.02	Å³/atom
symmetry	P4/mmm, No. 123
ΔE_f	-0.0474	eV per atom

---

[11]
La2MgSi3Ni4 after structural relaxation. Source: the Alexandria database, functional PBE.

Geometry as POSCAR:
```
La2MgSi3Ni4
1.0
4.142 0.000 0.000
0.000 4.142 0.000
0.000 0.000 9.841
La Si Ni Mg
2 3 4 1
direct
0.000 0.500 0.758
0.500 0.000 0.242
0.000 0.500 0.119
0.500 0.000 0.881
0.000 0.000 0.500
0.000 0.500 0.359
0.500 0.000 0.641
0.000 0.000 0.000
0.500 0.500 0.000
0.500 0.500 0.500
```

calculated volume	16.88	Å³/atom
symmetry	P-4m2, No. 115
VASP energy	-57.4	eV/f.u.

---

[12]
LaMg2SiNi after structural relaxation. Source: the Alexandria database, functional PBE.

Geometry as POSCAR:
```
LaMg2SiNi
1.0
-0.660 -3.501 -3.208
4.725 -0.808 -0.090
-0.448 -2.992 3.357
Mg Ni La Si
2 1 1 1
direct
0.500 0.000 0.000
0.000 0.500 0.000
0.000 0.000 0.000
0.500 0.500 0.500
0.000 0.000 0.500
```

calculated volume	20.77	Å³/atom
symmetry	P4/mmm, No. 123
VASP energy	-20.7	eV/f.u.

---

[13]
La2MgNi3Sn4 after structural relaxation. Source: the Alexandria database, functional PBE.

Geometry as POSCAR:
```
La2MgNi3Sn4
1.0
-3.997 -0.760 1.886
1.794 -3.276 2.482
2.328 7.217 7.843
Sn Ni La Mg
4 3 2 1
direct
0.500 0.500 0.000
0.000 0.000 0.000
0.500 0.000 0.648
0.000 0.500 0.352
0.000 0.500 0.120
0.500 0.000 0.880
0.000 0.000 0.500
0.000 0.500 0.758
0.500 0.000 0.242
0.500 0.500 0.500
```

calculated volume	21.94	Å³/atom
symmetry	P-4m2, No. 115
ΔE_f	-0.5428	eV per atom

---

[14]
LaMg2NiSn after structural relaxation. Source: the Alexandria database, functional PBE.

Geometry as POSCAR:
```
LaMg2NiSn
1.0
-1.521 4.650 0.743
-3.227 -1.598 3.393
3.548 0.578 3.647
Mg Ni Sn La
2 1 1 1
direct
0.000 0.500 0.000
0.500 0.000 0.000
0.000 0.000 0.000
0.500 0.500 0.500
0.000 0.000 0.500
```

calculated volume	25.07	Å³/atom
symmetry	P4/mmm, No. 123
energy relative to the lowest polymorph listed for this composition	2.8	kJ/mol of atoms
ΔE_f	-0.2806	eV per atom

---

[15]
LaMgNiSn2 after structural relaxation. Source: the Alexandria database, functional PBE.

Geometry as POSCAR:
```
LaMgNiSn2
1.0
5.030 0.000 0.000
0.000 5.030 0.000
0.000 0.000 4.828
Sn La Ni Mg
2 1 1 1
direct
0.500 0.000 0.000
0.000 0.500 0.000
0.500 0.500 0.500
0.000 0.000 0.000
0.000 0.000 0.500
```

calculated volume	24.43	Å³/atom
symmetry	P4/mmm, No. 123
ΔE_f	-0.3240	eV per atom

---

[16]
La2MgNiSn after structural relaxation. Source: the Alexandria database, functional PBE.

Geometry as POSCAR:
```
La2MgNiSn
1.0
5.316 0.000 0.000
0.000 5.316 0.000
0.000 0.000 4.950
Mg Ni Sn La
1 1 1 2
direct
0.000 0.000 0.500
0.000 0.000 0.000
0.500 0.500 0.500
0.500 0.000 0.000
0.000 0.500 0.000
```

calculated volume	27.98	Å³/atom
symmetry	P4/mmm, No. 123
ΔE_f	-0.4145	eV per atom

---

[17]
LaMg2NiSn after structural relaxation. Source: the Alexandria database, functional PBE.

Geometry as POSCAR:
```
LaMg2NiSn
1.0
-1.270 1.554 4.449
2.178 -3.893 1.981
4.219 2.525 0.322
La Mg Sn Ni
1 2 1 1
direct
0.500 0.500 0.500
0.500 0.000 0.000
0.000 0.500 0.000
0.000 0.000 0.500
0.000 0.000 0.000
```

calculated volume	23.48	Å³/atom
symmetry	P4/mmm, No. 123
energy relative to the lowest polymorph listed for this composition	0.0	kJ/mol of atoms
ΔE_f	-0.3094	eV per atom

---

[18]
SrLaMg2Ni after structural relaxation. Source: the Alexandria database, functional PBE.

Geometry as POSCAR:
```
SrLaMg2Ni
1.0
-0.105 4.798 -2.241
-0.551 -2.239 -4.768
-5.090 0.134 0.525
Sr Mg La Ni
1 2 1 1
direct
0.500 0.500 0.500
0.500 0.000 0.000
0.000 0.500 0.000
0.000 0.000 0.500
0.000 0.000 0.000
```

calculated volume	28.72	Å³/atom
symmetry	P4/mmm, No. 123
ΔE_f	-0.1417	eV per atom

---

[19]
La2MgTaNi after structural relaxation. Source: the Alexandria database, functional PBE.

Geometry as POSCAR:
```
La2MgTaNi
1.0
-0.587 -5.570 -0.326
4.345 -0.365 -1.581
1.873 -0.506 5.265
Mg Ni Ta La
1 1 1 2
direct
0.500 0.500 0.500
0.000 0.000 0.000
0.000 0.500 0.000
0.000 0.000 0.500
0.500 0.000 0.000
```

calculated volume	29.20	Å³/atom
symmetry	P4/mmm, No. 123
ΔE_f	0.3544	eV per atom

---

[20]
LaMg2TlNi after structural relaxation. Source: the Alexandria database, functional PBE.

Geometry as POSCAR:
```
LaMg2TlNi
1.0
4.904 0.000 0.000
0.000 4.904 0.000
0.000 0.000 5.022
Ni Tl La Mg
1 1 1 2
direct
0.000 0.000 0.000
0.000 0.000 0.500
0.500 0.500 0.500
0.500 0.000 0.000
0.000 0.500 0.000
```

calculated volume	24.15	Å³/atom
symmetry	P4/mmm, No. 123
energy relative to the lowest polymorph listed for this composition	4.5	kJ/mol of atoms
ΔE_f	-0.1480	eV per atom